VASP calculation (PBE-GGA) on a relaxed structure of MnCoMo.

energy of formation: -0.01 eV per atom
energy relative to the lowest polymorph listed for this composition: 0.000 eV per formula unit

a = 4.7148 Å, b = 4.7148 Å, c = 4.7148 Å
α = 121.24°, β = 119.41°, γ = 89.45°
Atoms (fractional coordinates):
Mn 0.5000 0.0000 0.0000
Mn 0.5000 0.5000 0.5000
Co 0.0000 0.0000 0.0000
Co 0.5000 0.0000 0.5000
Mo 0.1231 0.3731 0.7500
Mo 0.8769 0.6269 0.2500

=====

VASP calculation (PBE-GGA) on a relaxed structure of Sm2Ni3Sb4Rh.

uncorrected formation energy: -15.0 kcal/mol of atoms

a = 4.5035 Å, b = 4.5035 Å, c = 10.0319 Å
α = 90.00°, β = 90.00°, γ = 90.00°
Atoms (fractional coordinates):
Sm 0.0000 0.5000 0.2428
Sm 0.5000 0.0000 0.7572
Ni 0.0000 0.0000 0.0000
Ni 0.0000 0.5000 0.6206
Ni 0.5000 0.0000 0.3794
Sb 0.0000 0.0000 0.5000
Sb 0.0000 0.5000 0.8677
Sb 0.5000 0.0000 0.1323
Sb 0.5000 0.5000 0.5000
Rh 0.5000 0.5000 0.0000

=====

Number 1: calculated total energy -54.25 eV per cell. Number 2: calculated total energy -57.12 eV per cell.